Entry 1:
Here is an optimized crystal structure of Na2Cd5In4 from the Alexandria database. Energies are from PBE.

Geometry as extended XYZ:
```
11
Lattice="6.061 0.000 0.000 3.031 5.043 0.000 3.031 0.000 10.138" Properties=species:S:1:pos:R:3 pbc="T T T"
Cd 4.546 2.521 5.069
Cd 7.577 2.521 5.069
Cd 1.515 2.521 0.000
Cd 4.546 2.521 0.000
Cd 3.031 0.000 0.000
Na 3.031 0.000 8.110
Na 6.061 0.000 2.028
In 3.031 1.572 2.664
In 6.061 1.572 7.474
In 6.061 3.471 2.664
In 9.092 3.471 7.474
```

Computed properties:
Its symmetry is Fmmm, No. 69. Its calculated formation energy is -4 meV per atom. The total energy comes out at -18.2 eV for the cell shown. As for the polymorph energy (0 for the lowest one): 23 meV/atom.

Entry 2:
Here is an optimized crystal structure of Ba2ZnSe from the Alexandria database. Energies are from PBE.

Geometry as extended XYZ:
```
4
Lattice="6.679 -0.013 -0.090 5.260 4.116 -0.090 0.065 0.023 5.207" Properties=species:S:1:pos:R:3 pbc="T T T"
Ba 11.988 4.120 4.373
Ba 3.017 1.037 1.909
Se 6.224 2.139 1.857
Zn 8.784 3.019 4.429
```

Computed properties:
Its symmetry is Cm, No. 8. Its formation energy (no corrections) is -0.89 eV per atom. The total energy comes out at -12.1 eV for the cell shown. As for the polymorph energy (0 for the lowest one): 64 meV/atom.

Entry 3:
Here is an optimized crystal structure of CaSn2HgI from the Alexandria database. Energies are from PBE.

Geometry as extended XYZ:
```
5
Lattice="-0.551 3.220 -5.136 -5.470 1.599 1.589 2.252 4.897 2.828" Properties=species:S:1:pos:R:3 pbc="T T T"
I -2.735 0.799 0.794
Sn 1.126 2.448 1.414
Sn -0.275 1.610 -2.568
Ca 0.000 0.000 0.000
Hg -1.884 4.857 -0.359
```

Computed properties:
Its symmetry is P4/mmm, No. 123. Its formation energy (no corrections) is 0.23 eV per atom. The total energy comes out at -10.7 eV for the cell shown.